# 1
Compound: PbC3
Source: Alexandria
Functional: PBE
Structure: relaxed

extended XYZ file:
```
8
Lattice="4.664 0.000 0.000 0.000 4.664 0.000 0.000 0.000 4.664" Properties=species:S:1:pos:R:3 pbc="T T T"
Pb 0.000 0.000 0.000
Pb 2.332 2.332 2.332
C 0.000 1.166 2.332
C 0.000 3.498 2.332
C 1.166 2.332 0.000
C 2.332 0.000 1.166
C 2.332 0.000 3.498
C 3.498 2.332 0.000
```

Properties
Relative energy among the computed polymorphs, meV/atom: 2746.6
Total moment, μB/atom: 0.000
Calculated formation energy, eV per atom: 3.64

# 2
Compound: PbC2
Source: Alexandria
Functional: PBE
Structure: relaxed

extended XYZ file:
```
6
Lattice="-2.717 2.717 3.365 2.717 -2.717 3.365 2.717 2.717 -3.365" Properties=species:S:1:pos:R:3 pbc="T T T"
Pb 0.000 0.000 1.683
Pb 0.000 0.000 5.048
C 3.165 0.448 0.000
C 0.448 2.269 0.000
C 2.269 0.448 3.365
C -0.448 2.269 3.365
```

Properties
Relative energy among the computed polymorphs, meV/atom: 1039.7
Total moment, μB/atom: 0.000
Calculated formation energy, eV per atom: 1.42

# 3
Compound: Pb5C3
Source: Alexandria
Functional: PBE
Structure: relaxed

extended XYZ file:
```
16
Lattice="7.530 0.000 0.000 -3.765 6.521 0.000 0.000 0.000 7.111" Properties=species:S:1:pos:R:3 pbc="T T T"
Pb -0.972 1.683 1.778
Pb -2.793 4.838 5.333
Pb 1.944 0.000 1.778
Pb 0.972 1.683 5.333
Pb 0.000 4.347 0.000
Pb 0.000 4.347 3.555
Pb 3.765 2.174 0.000
Pb 3.765 2.174 3.555
Pb 5.586 0.000 5.333
Pb 2.793 4.838 1.778
C -1.546 2.677 5.333
C -2.219 3.844 1.778
C 3.091 0.000 5.333
C 1.546 2.677 1.778
C 4.439 0.000 1.778
C 2.219 3.844 5.333
```

Properties
Relative energy among the computed polymorphs, meV/atom: 0.0
Total moment, μB/atom: 0.000
Calculated formation energy, eV per atom: 1.59

# 4
Compound: PbC2
Source: Alexandria
Functional: PBE
Structure: relaxed

extended XYZ file:
```
3
Lattice="0.000 2.863 2.863 2.863 0.000 2.863 2.863 2.863 0.000" Properties=species:S:1:pos:R:3 pbc="T T T"
Pb 0.000 0.000 0.000
C 1.431 1.431 1.431
C 4.294 4.294 4.294
```

Properties
Relative energy among the computed polymorphs, meV/atom: 2619.9
Total moment, μB/atom: 0.000
Calculated formation energy, eV per atom: 3.00

# 5
Compound: PbC2
Source: Alexandria
Functional: PBE
Structure: relaxed

extended XYZ file:
```
6
Lattice="1.338 -10.150 0.000 1.338 10.150 0.000 0.000 0.000 4.343" Properties=species:S:1:pos:R:3 pbc="T T T"
Pb 1.338 6.181 3.258
Pb 1.338 -6.181 1.086
C 1.338 8.978 1.086
C 1.338 1.132 3.258
C 1.338 -1.132 1.086
C 1.338 -8.978 3.258
```

Properties
Relative energy among the computed polymorphs, meV/atom: 685.3
Total moment, μB/atom: 0.033
Calculated formation energy, eV per atom: 1.07

# 6
Compound: PbC2
Source: Alexandria
Functional: PBE
Structure: relaxed

extended XYZ file:
```
12
Lattice="6.022 0.000 0.000 0.000 6.022 0.000 0.000 0.000 6.022" Properties=species:S:1:pos:R:3 pbc="T T T"
Pb 0.000 0.000 0.000
Pb 0.000 3.011 3.011
Pb 3.011 0.000 3.011
Pb 3.011 3.011 0.000
C 0.367 3.378 5.654
C 0.367 5.654 2.643
C 2.643 0.367 5.654
C 2.643 2.643 2.643
C 3.378 3.378 3.378
C 3.378 5.654 0.367
C 5.654 0.367 3.378
C 5.654 2.643 0.367
```

Properties
Relative energy among the computed polymorphs, meV/atom: 767.9
Total moment, μB/atom: 0.000
Calculated formation energy, eV per atom: 1.15